Record 1
# Sr3SeS

A relaxed structure of Sr3SeS (PBEsol, Alexandria).

The structure in extended XYZ format:
```
5
Lattice="5.5798 0.0000 0.0000 0.0000 5.5798 0.0000 0.0000 0.0000 5.5798" Properties=species:S:1:pos:R:3 pbc="T T T"
Sr 0.0000 0.0000 2.7899
Sr 0.0000 2.7899 0.0000
Sr 2.7899 0.0000 0.0000
Se 2.7899 2.7899 2.7899
S 0.0000 0.0000 0.0000
```

The size of the total moment is 0.00 μB/f.u. The value obtained for the energy relative to the elements, uncorrected is -1.0625 eV per atom. The density is 3.574 Mg/m³. Its energy above the most stable polymorph in this dataset is 0.000 eV/atom. The calculation puts the density of states at the Fermi level at 4.48 states/eV per cell.

Record 2
# Ta2SeS

A relaxed structure of Ta2SeS (PBEsol, Alexandria).

The structure in extended XYZ format:
```
16
Lattice="4.4947 0.0000 0.0000 0.0000 4.4947 0.0000 0.0000 0.0000 15.2324" Properties=species:S:1:pos:R:3 pbc="T T T"
Ta 0.9768 1.1237 1.9040
Ta 1.1237 3.2241 5.7121
Ta 1.1237 3.5179 13.3283
Ta 1.2706 1.1237 9.5202
Ta 3.2241 3.3710 9.5202
Ta 3.3710 0.9768 13.3283
Ta 3.3710 1.2706 5.7121
Ta 3.5179 3.3710 1.9040
Se 0.0000 0.0000 7.6162
Se 0.0000 2.2473 11.4243
Se 2.2473 0.0000 3.8081
Se 2.2473 2.2473 0.0000
S 0.0000 0.0000 0.0000
S 0.0000 2.2473 3.8081
S 2.2473 0.0000 11.4243
S 2.2473 2.2473 7.6162
```

The size of the total moment is 0.00 μB/f.u. The value obtained for the energy relative to the elements, uncorrected is -0.1072 eV per atom. The density is 10.208 Mg/m³. The calculation puts the density of states at the Fermi level at 16.88 states/eV per cell.

Record 3
# Ta4SeS

A relaxed structure of Ta4SeS (PBEsol, Alexandria).

The structure in extended XYZ format:
```
6
Lattice="3.3292 0.0000 0.0000 0.0000 3.3292 0.0000 0.0000 0.0000 9.3755" Properties=species:S:1:pos:R:3 pbc="T T T"
Ta 0.0000 0.0000 0.0000
Ta 0.0000 0.0000 3.1608
Ta 1.6646 1.6646 1.5161
Ta 1.6646 1.6646 7.6712
Se 1.6646 1.6646 4.3842
S 0.0000 0.0000 6.7473
```

The size of the total moment is 0.00 μB/f.u. The value obtained for the energy relative to the elements, uncorrected is -0.5584 eV per atom. The density is 13.340 Mg/m³. The calculation puts the density of states at the Fermi level at 2.95 states/eV per cell.

Record 4
# TaSeS

A relaxed structure of TaSeS (PBEsol, Alexandria).

The structure in extended XYZ format:
```
3
Lattice="3.3729 0.0000 0.0000 -1.6865 2.9210 0.0000 0.0000 0.0000 6.1012" Properties=species:S:1:pos:R:3 pbc="T T T"
Ta 0.0000 0.0000 0.0000
Se 0.0000 1.9474 1.6993
S 1.6865 0.9737 4.5962
```

The size of the total moment is 0.00 μB/f.u. The value obtained for the energy relative to the elements, uncorrected is -0.9438 eV per atom. The density is 8.065 Mg/m³. The calculation puts the density of states at the Fermi level at 1.54 states/eV per cell.

Record 5
# TaTeSe2S

A relaxed structure of TaTeSe2S (PBEsol, Alexandria).

The structure in extended XYZ format:
```
5
Lattice="4.7920 0.0000 0.0000 0.0000 4.7920 0.0000 0.0000 0.0000 5.5906" Properties=species:S:1:pos:R:3 pbc="T T T"
Ta 0.0000 0.0000 0.0000
Te 0.0000 0.0000 2.7953
Se 0.0000 2.3960 0.0000
Se 2.3960 0.0000 0.0000
S 2.3960 2.3960 2.7953
```

The size of the total moment is 0.02 μB/f.u. The value obtained for the energy relative to the elements, uncorrected is 0.2572 eV per atom. The density is 6.448 Mg/m³. The calculation puts the density of states at the Fermi level at 4.47 states/eV per cell.

Record 6
# Zr2TaSeS

A relaxed structure of Zr2TaSeS (PBEsol, Alexandria).

The structure in extended XYZ format:
```
5
Lattice="5.1527 0.0000 0.0000 0.0000 5.1527 0.0000 0.0000 0.0000 4.6614" Properties=species:S:1:pos:R:3 pbc="T T T"
Zr 0.0000 2.5764 0.0000
Zr 2.5764 0.0000 0.0000
Ta 0.0000 0.0000 0.0000
Se 0.0000 0.0000 2.3307
S 2.5764 2.5764 2.3307
```

The size of the total moment is 0.00 μB/f.u. The value obtained for the energy relative to the elements, uncorrected is 0.5683 eV per atom. The density is 6.365 Mg/m³. The calculation puts the density of states at the Fermi level at 5.24 states/eV per cell.

Record 7
# Tc2SeS

A relaxed structure of Tc2SeS (PBEsol, Alexandria).

The structure in extended XYZ format:
```
16
Lattice="6.0071 0.0000 0.0000 0.0000 6.0071 0.0000 0.0000 0.0000 6.0071" Properties=species:S:1:pos:R:3 pbc="T T T"
Tc 1.5018 1.5018 1.5018
Tc 1.5018 1.5018 4.5053
Tc 1.5018 4.5053 1.5018
Tc 1.5018 4.5053 4.5053
Tc 4.5053 1.5018 1.5018
Tc 4.5053 1.5018 4.5053
Tc 4.5053 4.5053 1.5018
Tc 4.5053 4.5053 4.5053
Se 0.0000 0.0000 0.0000
Se 0.0000 3.0035 3.0035
Se 3.0035 0.0000 3.0035
Se 3.0035 3.0035 0.0000
S 0.0000 0.0000 3.0035
S 0.0000 3.0035 0.0000
S 3.0035 0.0000 0.0000
S 3.0035 3.0035 3.0035
```

The size of the total moment is 0.00 μB/f.u. The value obtained for the energy relative to the elements, uncorrected is -0.0029 eV per atom. The density is 9.408 Mg/m³. The calculation puts the density of states at the Fermi level at 11.15 states/eV per cell.

Record 8
# TlTcSe2S

A relaxed structure of TlTcSe2S (PBEsol, Alexandria).

The structure in extended XYZ format:
```
5
Lattice="5.1836 0.0000 0.0000 0.0000 5.1836 0.0000 0.0000 0.0000 5.4385" Properties=species:S:1:pos:R:3 pbc="T T T"
Tl 0.0000 0.0000 0.0000
Tc 0.0000 0.0000 2.7193
Se 0.0000 2.5918 0.0000
Se 2.5918 0.0000 0.0000
S 2.5918 2.5918 2.7193
```

The size of the total moment is 6.23 μB/f.u. The value obtained for the energy relative to the elements, uncorrected is 1.7385 eV per atom. The density is 5.595 Mg/m³. The calculation puts the density of states at the Fermi level at 4.58 states/eV per cell.

Record 9
# TeSe3S

A relaxed structure of TeSe3S (PBEsol, Alexandria).

The structure in extended XYZ format:
```
5
Lattice="4.8087 0.0000 0.0000 0.0000 4.8087 0.0000 0.0000 0.0000 4.8087" Properties=species:S:1:pos:R:3 pbc="T T T"
Te 0.0000 0.0000 0.0000
Se 0.0000 2.4044 2.4044
Se 2.4044 0.0000 2.4044
Se 2.4044 2.4044 0.0000
S 2.4044 2.4044 2.4044
```

The size of the total moment is 0.00 μB/f.u. The value obtained for the energy relative to the elements, uncorrected is 0.4645 eV per atom. The density is 5.922 Mg/m³. The calculation puts the density of states at the Fermi level at 3.36 states/eV per cell.

Record 10
# TeSe2S

A relaxed structure of TeSe2S (PBEsol, Alexandria).

The structure in extended XYZ format:
```
12
Lattice="3.8941 0.0000 0.0000 -1.9471 3.3724 0.0000 0.0000 0.0000 24.7688" Properties=species:S:1:pos:R:3 pbc="T T T"
Te 0.0000 0.0000 0.0000
Te 0.0000 2.2483 16.5126
Te 1.9471 1.1241 8.2563
Se 0.0000 0.0000 10.0907
Se 0.0000 0.0000 14.6781
Se 0.0000 2.2483 1.8344
Se 0.0000 2.2483 6.4219
Se 1.9471 1.1241 18.3470
Se 1.9471 1.1241 22.9344
S 0.0000 0.0000 12.3844
S 0.0000 2.2483 4.1281
S 1.9471 1.1241 20.6407
```

The size of the total moment is 0.00 μB/f.u. The value obtained for the energy relative to the elements, uncorrected is 0.2719 eV per atom. The density is 4.864 Mg/m³. The calculation puts the density of states at the Fermi level at 5.95 states/eV per cell.

Record 11
# TeSeS3

A relaxed structure of TeSeS3 (PBEsol, Alexandria).

The structure in extended XYZ format:
```
5
Lattice="4.7194 0.0000 0.0000 0.0000 4.7194 0.0000 0.0000 0.0000 4.7194" Properties=species:S:1:pos:R:3 pbc="T T T"
Te 0.0000 0.0000 0.0000
Se 2.3597 2.3597 2.3597
S 0.0000 2.3597 2.3597
S 2.3597 0.0000 2.3597
S 2.3597 2.3597 0.0000
```

The size of the total moment is 0.00 μB/f.u. The value obtained for the energy relative to the elements, uncorrected is 0.5824 eV per atom. The density is 4.783 Mg/m³. The calculation puts the density of states at the Fermi level at 4.11 states/eV per cell.

Record 12
# TeW2SeS2

A relaxed structure of TeW2SeS2 (PBEsol, Alexandria).

The structure in extended XYZ format:
```
12
Lattice="3.2562 0.0000 0.0000 -1.6281 2.8199 0.0000 0.0000 0.0000 26.1623" Properties=species:S:1:pos:R:3 pbc="T T T"
Te 0.0000 0.0000 0.0000
Te 0.0000 0.0000 3.8408
W 0.0000 0.0000 8.8170
W 0.0000 0.0000 21.3538
W 1.6281 0.9400 1.9203
W 1.6281 0.9400 15.1627
Se 1.6281 0.9400 7.1330
Se 1.6281 0.9400 10.4993
S 0.0000 0.0000 13.6334
S 0.0000 0.0000 16.6916
S 1.6281 0.9400 19.8248
S 1.6281 0.9400 22.8844
```

The size of the total moment is 0.00 μB/f.u. The value obtained for the energy relative to the elements, uncorrected is -0.5640 eV per atom. The density is 8.825 Mg/m³. The calculation puts the density of states at the Fermi level at 0.52 states/eV per cell.

Record 13
# TiSeS

A relaxed structure of TiSeS (PBEsol, Alexandria).

The structure in extended XYZ format:
```
3
Lattice="3.4041 0.0000 0.0000 -1.7020 2.9480 0.0000 0.0000 0.0000 5.8406" Properties=species:S:1:pos:R:3 pbc="T T T"
Ti 0.0000 0.0000 0.0000
Se 0.0000 1.9654 1.6222
S 1.7020 0.9827 4.4826
```

The size of the total moment is 0.00 μB/f.u. The value obtained for the energy relative to the elements, uncorrected is -1.2350 eV per atom. The density is 4.502 Mg/m³. The calculation puts the density of states at the Fermi level at 0.69 states/eV per cell.